Here is a relaxed structure of Be2RuBr from Alexandria via LeMat-Bulk. Energies are from PBE-GGA.

Cell: 3.666 3.666 7.703 Å, 90.00 90.00 90.00°
Element x y z (fractional)
1 Be 0.000 0.500 0.250
2 Be 0.000 0.500 0.750
3 Be 0.500 0.000 0.250
4 Be 0.500 0.000 0.750
5 Ru 0.000 0.000 0.000
6 Ru 0.500 0.500 0.500
7 Br 0.000 0.000 0.500
8 Br 0.500 0.500 0.000

Total DFT energy (no corrections) ... -3.87 eV/atom
E_form (uncorrected) ... 0.7270 eV per atom
D(E_F) ... 0.685 states/eV/atom
Space group ... No. 139

Here is a relaxed structure of Cs4SmI6 from Alexandria via LeMat-Bulk. Energies are from PBE-GGA.

Cell: 10.441 10.441 10.916 Å, 90.00 90.00 90.00°
Element x y z (fractional)
1 Cs 0.168 0.332 0.250
2 Cs 0.168 0.332 0.750
3 Cs 0.332 0.832 0.250
4 Cs 0.332 0.832 0.750
5 Cs 0.668 0.168 0.250
6 Cs 0.668 0.168 0.750
7 Cs 0.832 0.668 0.250
8 Cs 0.832 0.668 0.750
9 Sm 0.000 0.000 0.000
10 Sm 0.500 0.500 0.500
11 I 0.000 0.000 0.288
12 I 0.000 0.000 0.712
13 I 0.097 0.706 0.000
14 I 0.206 0.597 0.500
15 I 0.294 0.097 0.000
16 I 0.403 0.206 0.500
17 I 0.500 0.500 0.212
18 I 0.500 0.500 0.788
19 I 0.597 0.794 0.500
20 I 0.706 0.903 0.000
21 I 0.794 0.403 0.500
22 I 0.903 0.294 0.000

Total DFT energy (no corrections) ... -3.00 eV/atom
E_form (uncorrected) ... -1.4141 eV per atom
D(E_F) ... 0.608 states/eV/atom
Space group ... No. 128